VASP calculation (PBE-GGA) on a relaxed structure of MnFeSi2.

Cell lengths 4.0567, 4.0567, 4.6141 Å; angles 79.00, 79.00, 38.07 degrees
Site moments in Bohr magnetons follow the coordinates.
Fractional coordinates of all 4 atoms:
Fe1 0.2500 0.2500 0.2500  0.06
Si1 0.5041 0.5041 0.4896  -0.02
Si2 0.9959 0.9959 0.0104  -0.02
Mn1 0.7500 0.7500 0.7500  1.54

SG: C2/m, No. 12
Total magnetic moment (Bohr magnetons per cell): 1.6
Raw total energy (eV/atom): -7.34
E_form (uncorrected) (eV per atom): -0.221

---

VASP calculation (PBE-GGA) on a relaxed structure of CsPb3F6.

Cell lengths 3.9741, 7.8834, 7.8834 Å; angles 109.92, 90.00, 90.00 degrees
Fractional coordinates of all 10 atoms:
Pb1 0.5000 0.0000 0.5000
Pb2 0.5000 0.5000 0.0000
Pb3 0.0000 0.0000 0.0000
F1 0.5000 0.6769 0.3231
F2 0.0000 0.0719 0.3391
F3 0.0000 0.6609 0.9281
F4 0.0000 0.9281 0.6609
F5 0.5000 0.3231 0.6769
F6 0.0000 0.3391 0.0719
Cs1 0.0000 0.5000 0.5000

SG: Cmmm, No. 65
Total magnetic moment (Bohr magnetons per cell): 0.1
Raw total energy (eV/atom): -4.58
E_form (uncorrected) (eV per atom): -2.262

---

VASP calculation (PBE-GGA) on a relaxed structure of SiNiH2.

Cell lengths 3.5382, 3.5382, 3.5382 Å; angles 60.00, 60.00, 60.00 degrees
Fractional coordinates of all 4 atoms:
Si1 0.0000 0.0000 0.0000
H1 0.2500 0.2500 0.2500
H2 0.7500 0.7500 0.7500
Ni1 0.5000 0.5000 0.5000

SG: Fm-3m, No. 225
Total magnetic moment (Bohr magnetons per cell): 0.0
Raw total energy (eV/atom): -3.79
Excess energy over the best structure of this formula in the dataset (kJ/mol of atoms): 29.1

---

VASP calculation (PBE-GGA) on a relaxed structure of Rb2PtBr4Cl2.

Cell lengths 7.4963, 7.4963, 7.4963 Å; angles 89.21, 120.46, 120.46 degrees
Fractional coordinates of all 9 atoms:
Pt1 0.0000 0.0000 0.0000
Br1 0.4762 0.2381 0.2381
Br2 0.5238 0.7619 0.7619
Br3 0.0000 0.7619 0.2381
Br4 0.0000 0.2381 0.7619
Rb1 0.5000 0.7500 0.2500
Rb2 0.5000 0.2500 0.7500
Cl1 0.0000 0.7792 0.7792
Cl2 0.0000 0.2208 0.2208

SG: I4/mmm, No. 139
Total magnetic moment (Bohr magnetons per cell): 0.0
Raw total energy (eV/atom): -3.12
E_form (uncorrected) (eV per atom): -1.076